Entry 1:
{"formula": "TlIn16Hg12", "functional": "PBE-GGA", "state": "optimized geometry", "lattice_angstrom": [[5.826, -7.849, 0.000], [5.826, 7.849, 0.000], [-4.809, 0.000, 8.530]], "species": ["Tl", "In", "In", "In", "In", "In", "In", "In", "In", "In", "In", "In", "In", "In", "In", "In", "In", "Hg", "Hg", "Hg", "Hg", "Hg", "Hg", "Hg", "Hg", "Hg", "Hg", "Hg", "Hg"], "fractional_positions": [[0.000, 0.000, 0.000], [0.000, 0.318, 0.898], [0.045, 0.437, 0.617], [0.066, 0.066, 0.648], [0.120, 0.714, 0.995], [0.128, 0.371, 0.294], [0.318, 0.000, 0.898], [0.327, 0.327, 0.606], [0.371, 0.128, 0.294], [0.374, 0.715, 0.305], [0.437, 0.045, 0.617], [0.482, 0.741, 0.753], [0.714, 0.120, 0.995], [0.715, 0.374, 0.305], [0.732, 0.732, 0.037], [0.739, 0.739, 0.355], [0.741, 0.482, 0.753], [0.097, 0.898, 0.321], [0.178, 0.707, 0.518], [0.334, 0.334, 0.104], [0.347, 0.552, 0.932], [0.527, 0.922, 0.151], [0.529, 0.529, 0.478], [0.552, 0.347, 0.932], [0.707, 0.178, 0.518], [0.723, 0.939, 0.662], [0.898, 0.097, 0.321], [0.922, 0.527, 0.151], [0.939, 0.723, 0.662]], "ef_kj_per_mol_fu": 56, "e_tot_ev_per_cell": -49.22}



Entry 2:
{"formula": "AlTlOs2", "functional": "PBE-GGA", "state": "optimized geometry", "lattice_angstrom": [[-1.983, 1.983, 4.125], [1.983, -1.983, 4.125], [1.983, 1.983, -4.125]], "species": ["Al", "Tl", "Os", "Os"], "fractional_positions": [[0.000, 0.000, 0.000], [0.750, 0.250, 0.500], [0.250, 0.750, 0.500], [0.500, 0.500, 0.000]], "polymorph_energy_kj_per_mol_atoms": 44.58, "ef_kj_per_mol_fu": 266, "e_tot_ev_per_cell": -25.81}



Entry 3:
{"formula": "SiWSe", "functional": "PBE-GGA", "state": "optimized geometry", "lattice_angstrom": [[0.000, 3.057, 3.057], [3.057, 0.000, 3.057], [3.057, 3.057, 0.000]], "species": ["Si", "W", "Se"], "fractional_positions": [[0.000, 0.000, 0.000], [0.250, 0.250, 0.250], [0.500, 0.500, 0.500]], "polymorph_energy_kj_per_mol_atoms": 46.44, "e_form_raw_ev_per_atom": 0.602, "e_tot_ev_per_cell": -20.05}



Entry 4:
{"formula": "AlCrAs2Se", "functional": "PBE-GGA", "state": "optimized geometry", "lattice_angstrom": [[4.759, 0.000, 0.000], [0.000, 4.759, 0.000], [0.000, 0.000, 4.854]], "species": ["Al", "Cr", "As", "As", "Se"], "fractional_positions": [[0.000, 0.000, 0.000], [0.500, 0.500, 0.500], [0.000, 0.500, 0.000], [0.500, 0.000, 0.000], [0.000, 0.000, 0.500]], "polymorph_energy_kj_per_mol_atoms": 67.34, "e_form_raw_ev_per_atom": 1.052, "e_tot_ev_per_cell": -20.89}